Record 1
First-principles (PBE) data for crystalline HPbClO at its relaxed geometry, as listed in the Alexandria database.

a b c (Å): 7.195 4.100 9.935
angles (deg): 90.00 90.00 90.00
Sites, in units of the cell vectors:
H1 0.213 0.250 0.115
H2 0.287 0.750 0.615
H3 0.713 0.250 0.385
H4 0.787 0.750 0.885
Pb1 0.206 0.750 0.915
Pb2 0.294 0.250 0.415
Pb3 0.706 0.750 0.585
Pb4 0.794 0.250 0.085
Cl1 0.067 0.250 0.675
Cl2 0.433 0.750 0.175
Cl3 0.567 0.250 0.825
Cl4 0.933 0.750 0.325
O1 0.127 0.250 0.038
O2 0.373 0.750 0.538
O3 0.627 0.250 0.462
O4 0.873 0.750 0.962

Summary:
Its crystal system is orthorhombic. Its polymorph energy (0 for the lowest one) is 0.003 eV per atom. As for the space group: Pnma.

---

Record 2
First-principles (PBE) data for crystalline Ta2Fe2Sb at its relaxed geometry, as listed in the Alexandria database.

a b c (Å): 7.198 7.198 3.029
angles (deg): 90.00 90.00 90.00
Sites, in units of the cell vectors:
Ta1 0.157 0.343 0.000
Ta2 0.343 0.843 0.000
Ta3 0.657 0.157 0.000
Ta4 0.843 0.657 0.000
Fe1 0.131 0.631 0.500
Fe2 0.369 0.131 0.500
Fe3 0.631 0.869 0.500
Fe4 0.869 0.369 0.500
Sb1 0.000 0.000 0.500
Sb2 0.500 0.500 0.500

Summary:
Its crystal system is tetragonal. Its polymorph energy (0 for the lowest one) is 0.000 eV per atom. As for the space group: P4/mbm. The uncorrected formation energy comes out at 0.037 eV/atom.

---

Record 3
First-principles (PBE) data for crystalline CaSn2Pb at its relaxed geometry, as listed in the Alexandria database.

a b c (Å): 4.813 4.813 4.848
angles (deg): 90.00 90.00 90.00
Sites, in units of the cell vectors:
Ca1 0.000 0.000 0.000
Sn1 0.000 0.500 0.500
Sn2 0.500 0.000 0.500
Pb1 0.500 0.500 0.000

Summary:
Its crystal system is tetragonal. The raw total energy comes out at -3.78 eV/atom. As for the space group: P4/mmm.

---

Record 4
First-principles (PBE) data for crystalline TeRu2Cl at its relaxed geometry, as listed in the Alexandria database.

a b c (Å): 8.382 3.116 7.567
angles (deg): 90.00 121.65 90.00
Sites, in units of the cell vectors:
Te1 0.000 0.000 0.000
Te2 0.500 0.500 0.000
Ru1 0.137 0.500 0.826
Ru2 0.363 0.000 0.174
Ru3 0.637 0.000 0.826
Ru4 0.863 0.500 0.174
Cl1 0.000 0.000 0.500
Cl2 0.500 0.500 0.500

Summary:
Its crystal system is monoclinic. Its polymorph energy (0 for the lowest one) is 0.161 eV per atom. As for the space group: C2/m. The uncorrected formation energy comes out at 0.301 eV/atom.

---

Record 5
First-principles (PBE) data for crystalline DyScInRu at its relaxed geometry, as listed in the Alexandria database.

a b c (Å): 3.365 3.365 7.573
angles (deg): 90.00 90.00 90.00
Sites, in units of the cell vectors:
Dy1 0.000 0.000 0.000
Sc1 0.000 0.000 0.579
In1 0.500 0.500 0.311
Ru1 0.500 0.500 0.768

Summary:
Its crystal system is tetragonal. Its polymorph energy (0 for the lowest one) is 0.000 eV per atom. As for the space group: P4mm.

---

Record 6
First-principles (PBE) data for crystalline Na2Al2Bi at its relaxed geometry, as listed in the Alexandria database.

a b c (Å): 4.278 4.278 14.399
angles (deg): 90.00 90.00 90.00
Sites, in units of the cell vectors:
Na1 0.000 0.500 0.250
Na2 0.000 0.500 0.750
Na3 0.500 0.000 0.250
Na4 0.500 0.000 0.750
Al1 0.000 0.000 0.089
Al2 0.000 0.000 0.911
Al3 0.500 0.500 0.411
Al4 0.500 0.500 0.589
Bi1 0.000 0.000 0.500
Bi2 0.500 0.500 0.000

Summary:
Its crystal system is tetragonal. Its polymorph energy (0 for the lowest one) is 0.032 eV per atom. As for the space group: I4/mmm.

---

Record 7
First-principles (PBE) data for crystalline SrAsW2 at its relaxed geometry, as listed in the Alexandria database.

a b c (Å): 5.834 11.352 2.739
angles (deg): 90.00 117.36 90.00
Sites, in units of the cell vectors:
Sr1 0.000 0.000 0.000
Sr2 0.500 0.500 0.000
As1 0.000 0.500 0.000
As2 0.500 0.000 0.000
W1 0.250 0.250 0.500
W2 0.250 0.750 0.500
W3 0.750 0.250 0.500
W4 0.750 0.750 0.500

Summary:
Its crystal system is monoclinic. The raw total energy comes out at -7.15 eV/atom. As for the space group: C2/m.

---

Record 8
First-principles (PBE) data for crystalline SnTeO2F at its relaxed geometry, as listed in the Alexandria database.

a b c (Å): 4.198 4.198 4.319
angles (deg): 90.00 90.00 90.00
Sites, in units of the cell vectors:
Sn1 0.000 0.000 0.000
Te1 0.500 0.500 0.500
O1 0.000 0.500 0.000
O2 0.500 0.000 0.000
F1 0.000 0.000 0.500

Summary:
Its crystal system is tetragonal. As for the space group: P4/mmm. The uncorrected formation energy comes out at -0.780 eV/atom.

---

Record 9
First-principles (PBE) data for crystalline CaSb4Ru2 at its relaxed geometry, as listed in the Alexandria database.

a b c (Å): 5.390 5.390 13.653
angles (deg): 90.00 90.00 90.00
Sites, in units of the cell vectors:
Ca1 0.000 0.000 0.000
Ca2 0.500 0.500 0.500
Sb1 0.000 0.000 0.227
Sb2 0.000 0.000 0.773
Sb3 0.000 0.500 0.000
Sb4 0.000 0.500 0.500
Sb5 0.500 0.000 0.000
Sb6 0.500 0.000 0.500
Sb7 0.500 0.500 0.273
Sb8 0.500 0.500 0.727
Ru1 0.000 0.000 0.407
Ru2 0.000 0.000 0.593
Ru3 0.500 0.500 0.093
Ru4 0.500 0.500 0.907

Summary:
Its crystal system is tetragonal. As for the space group: I4/mmm. The uncorrected formation energy comes out at 0.658 eV/atom.

---

Record 10
First-principles (PBE) data for crystalline Cr2NiIr at its relaxed geometry, as listed in the Alexandria database.

a b c (Å): 2.622 4.116 4.541
angles (deg): 90.00 90.00 90.00
Sites, in units of the cell vectors:
Cr1 0.000 0.000 0.000
Cr2 0.000 0.500 0.326
Ni1 0.500 0.000 0.476
Ir1 0.500 0.500 0.821

Summary:
Its crystal system is orthorhombic. The raw total energy comes out at -8.56 eV/atom. As for the space group: Pmm2.

---

Record 11
First-principles (PBE) data for crystalline CaNbCl2 at its relaxed geometry, as listed in the Alexandria database.

a b c (Å): 4.936 4.936 16.411
angles (deg): 90.00 90.00 90.00
Sites, in units of the cell vectors:
Ca1 0.000 0.000 0.000
Ca2 0.000 0.500 0.250
Ca3 0.500 0.000 0.750
Ca4 0.500 0.500 0.500
Nb1 0.000 0.000 0.500
Nb2 0.000 0.500 0.750
Nb3 0.500 0.000 0.250
Nb4 0.500 0.500 0.000
Cl1 0.209 0.250 0.625
Cl2 0.250 0.709 0.875
Cl3 0.250 0.791 0.375
Cl4 0.291 0.250 0.125
Cl5 0.709 0.750 0.125
Cl6 0.750 0.209 0.375
Cl7 0.750 0.291 0.875
Cl8 0.791 0.750 0.625

Summary:
Its crystal system is tetragonal. Its polymorph energy (0 for the lowest one) is 0.198 eV per atom. As for the space group: I-42d. The uncorrected formation energy comes out at -0.453 eV/atom.

---

Record 12
First-principles (PBE) data for crystalline Pm2TmTl3S6 at its relaxed geometry, as listed in the Alexandria database.

a b c (Å): 7.088 7.088 7.872
angles (deg): 98.63 98.63 119.98
Sites, in units of the cell vectors:
Pm1 0.167 0.833 0.000
Pm2 0.833 0.167 0.000
Tm1 0.500 0.500 0.000
Tl1 0.000 0.000 0.500
Tl2 0.332 0.668 0.500
Tl3 0.668 0.332 0.500
S1 0.111 0.433 0.801
S2 0.244 0.244 0.202
S3 0.433 0.111 0.801
S4 0.567 0.889 0.199
S5 0.756 0.756 0.798
S6 0.889 0.567 0.199

Summary:
Its crystal system is monoclinic. As for the space group: C2/m. The uncorrected formation energy comes out at -1.470 eV/atom.

---

Record 13
First-principles (PBE) data for crystalline Ac4SmS6 at its relaxed geometry, as listed in the Alexandria database.

a b c (Å): 8.395 8.395 8.395
angles (deg): 90.48 90.48 90.48
Sites, in units of the cell vectors:
Ac1 0.126 0.750 0.374
Ac2 0.250 0.250 0.250
Ac3 0.250 0.626 0.874
Ac4 0.374 0.126 0.750
Ac5 0.626 0.874 0.250
Ac6 0.750 0.374 0.126
Ac7 0.750 0.750 0.750
Ac8 0.874 0.250 0.626
Sm1 0.000 0.000 0.000
Sm2 0.500 0.500 0.500
S1 0.062 0.915 0.689
S2 0.085 0.311 0.938
S3 0.189 0.415 0.562
S4 0.311 0.938 0.085
S5 0.415 0.562 0.189
S6 0.438 0.811 0.585
S7 0.562 0.189 0.415
S8 0.585 0.438 0.811
S9 0.689 0.062 0.915
S10 0.811 0.585 0.438
S11 0.915 0.689 0.062
S12 0.938 0.085 0.311

Summary:
Its crystal system is trigonal. As for the space group: R-3c. The uncorrected formation energy comes out at -1.975 eV/atom.

---

Record 14
First-principles (PBE) data for crystalline CaHPtRh2 at its relaxed geometry, as listed in the Alexandria database.

a b c (Å): 3.998 3.998 4.295
angles (deg): 90.00 90.00 90.00
Sites, in units of the cell vectors:
Ca1 0.000 0.000 0.000
H1 0.000 0.000 0.500
Pt1 0.500 0.500 0.000
Rh1 0.000 0.500 0.500
Rh2 0.500 0.000 0.500

Summary:
Its crystal system is tetragonal. Its polymorph energy (0 for the lowest one) is 0.000 eV per atom. As for the space group: P4/mmm.

---

Record 15
First-principles (PBE) data for crystalline Ca6Al2Pb at its relaxed geometry, as listed in the Alexandria database.

a b c (Å): 9.117 9.117 9.117
angles (deg): 112.51 111.41 104.61
Sites, in units of the cell vectors:
Ca1 0.034 0.827 0.207
Ca2 0.248 0.544 0.296
Ca3 0.248 0.952 0.704
Ca4 0.273 0.316 0.589
Ca5 0.273 0.684 0.958
Ca6 0.380 0.173 0.207
Ca7 0.620 0.827 0.793
Ca8 0.727 0.316 0.042
Ca9 0.727 0.684 0.411
Ca10 0.752 0.048 0.296
Ca11 0.752 0.456 0.704
Ca12 0.966 0.173 0.793
Al1 0.000 0.143 0.143
Al2 0.000 0.857 0.857
Al3 0.384 0.384 0.000
Al4 0.616 0.616 0.000
Pb1 0.000 0.500 0.500
Pb2 0.500 0.000 0.500

Summary:
Its crystal system is orthorhombic. The raw total energy comes out at -2.84 eV/atom. As for the space group: Immm.

---

Record 16
First-principles (PBE) data for crystalline HoTi3Ge2 at its relaxed geometry, as listed in the Alexandria database.

a b c (Å): 8.336 8.336 8.183
angles (deg): 117.45 117.45 27.45
Sites, in units of the cell vectors:
Ho1 0.138 0.138 0.071
Ho2 0.862 0.862 0.929
Ti1 0.052 0.052 0.400
Ti2 0.314 0.314 0.532
Ti3 0.409 0.409 0.321
Ti4 0.591 0.591 0.679
Ti5 0.686 0.686 0.468
Ti6 0.948 0.948 0.600
Ge1 0.212 0.212 0.726
Ge2 0.483 0.483 0.837
Ge3 0.517 0.517 0.163
Ge4 0.788 0.788 0.274

Summary:
Its crystal system is monoclinic. The raw total energy comes out at -6.77 eV/atom. As for the space group: C2/m.

---

Record 17
First-principles (PBE) data for crystalline Li2PPt at its relaxed geometry, as listed in the Alexandria database.

a b c (Å): 2.786 2.786 24.767
angles (deg): 90.00 90.00 120.00
Sites, in units of the cell vectors:
Li1 0.000 0.000 0.247
Li2 0.000 0.000 0.753
Li3 0.333 0.667 0.420
Li4 0.333 0.667 0.914
Li5 0.667 0.333 0.086
Li6 0.667 0.333 0.580
P1 0.000 0.000 0.500
P2 0.333 0.667 0.167
P3 0.667 0.333 0.833
Pt1 0.000 0.000 0.000
Pt2 0.333 0.667 0.667
Pt3 0.667 0.333 0.333

Summary:
Its crystal system is trigonal. The raw total energy comes out at -4.22 eV/atom. As for the space group: R-3m.

---

Record 18
First-principles (PBE) data for crystalline CsHg2Sb at its relaxed geometry, as listed in the Alexandria database.

a b c (Å): 5.230 5.230 19.415
angles (deg): 90.00 90.00 120.00
Sites, in units of the cell vectors:
Cs1 0.000 0.000 0.000
Cs2 0.333 0.667 0.667
Cs3 0.667 0.333 0.333
Hg1 0.000 0.000 0.209
Hg2 0.000 0.000 0.791
Hg3 0.333 0.667 0.458
Hg4 0.333 0.667 0.876
Hg5 0.667 0.333 0.124
Hg6 0.667 0.333 0.542
Sb1 0.000 0.000 0.500
Sb2 0.333 0.667 0.167
Sb3 0.667 0.333 0.833

Summary:
Its crystal system is trigonal. As for the space group: R-3m. The uncorrected formation energy comes out at -0.205 eV/atom.

---

Record 19
First-principles (PBE) data for crystalline Zn3Cu4Au at its relaxed geometry, as listed in the Alexandria database.

a b c (Å): 6.342 7.304 6.482
angles (deg): 90.00 90.00 90.00
Sites, in units of the cell vectors:
Zn1 0.000 0.000 0.000
Zn2 0.222 0.000 0.360
Zn3 0.278 0.500 0.860
Zn4 0.500 0.500 0.500
Zn5 0.722 0.500 0.860
Zn6 0.778 0.000 0.360
Cu1 0.000 0.165 0.636
Cu2 0.000 0.835 0.636
Cu3 0.188 0.500 0.235
Cu4 0.312 0.000 0.735
Cu5 0.500 0.335 0.136
Cu6 0.500 0.665 0.136
Cu7 0.688 0.000 0.735
Cu8 0.812 0.500 0.235
Au1 0.000 0.500 0.578
Au2 0.500 0.000 0.078

Summary:
Its crystal system is orthorhombic. Its polymorph energy (0 for the lowest one) is 0.405 eV per atom. As for the space group: Imm2.

---

Record 20
First-principles (PBE) data for crystalline Er4AuSe2S at its relaxed geometry, as listed in the Alexandria database.

a b c (Å): 7.067 3.932 7.094
angles (deg): 90.00 108.50 90.00
Sites, in units of the cell vectors:
Er1 0.238 0.000 0.241
Er2 0.241 0.500 0.750
Er3 0.759 0.500 0.250
Er4 0.762 0.000 0.759
Au1 0.000 0.000 0.500
Se1 0.500 0.000 0.000
Se2 0.500 0.500 0.500
S1 0.000 0.500 0.000

Summary:
Its crystal system is monoclinic. As for the space group: P2/m. The uncorrected formation energy comes out at -1.537 eV/atom.